! CdW3F, optimized geometry, DFT PBE with a Hubbard U; values from VASP
&SYSTEM
  ibrav = 0, nat = 5, ntyp = 3
/
ATOMIC_SPECIES
Cd 112.41 Cd.upf
W 183.84 W.upf
F 19.00 F.upf
CELL_PARAMETERS angstrom
4.354 0.000 0.000
0.000 4.354 0.000
0.000 0.000 4.354
ATOMIC_POSITIONS crystal
Cd 0.000 0.000 0.000
W 0.000 0.500 0.500
W 0.500 0.000 0.500
W 0.500 0.500 0.000
F 0.500 0.500 0.500
! Total magnetic moment ... 0.0 μB per formula unit
! Symmetry ... Pm-3m, No. 221
! E above lowest polymorph ... 0.0000 eV/atom
! Fermi-level density of states ... 1.9 states/eV/cell